DFT (PBE+U) results for Na2GaCoO4 after structural relaxation.

a b c (Å): 5.092 5.092 5.092
angles (deg): 99.43 114.71 114.71
Positions (direct):
O 0.563 0.329 0.426
O 0.097 0.234 0.671
O 0.903 0.574 0.137
O 0.437 0.863 0.766
Na 0.500 0.750 0.250
Na 0.000 0.000 0.000
Ga 0.500 0.250 0.750
Co 0.000 0.500 0.500

## Properties
density = 3.99 g/cm3
total DFT energy (no corrections) = -42.50 eV/f.u.
symmetry = I-4